Computed, not measured: a crystal of InCoIN2 relaxed with PBEsol at the meta-GGA SCAN level of DFT.

Calculated values
Formation energy from raw total energies: 1.197 eV/atom
Offset from the most stable computed form: 0.000 eV per atom
Space group: P4/mmm

Lattice parameters (Å, degrees): 3.9597 3.9597 5.1758 90.00 90.00 90.00
With the nearest neighbours (Å) after each atom.
Element x y z (fractional)
In (0.0000, 0.0000, 0.0000)  4 I 2.80
Co (0.5000, 0.5000, 0.5000)  4 N 1.98
I (0.5000, 0.5000, 0.0000)  2 Co 2.59, 4 In 2.80
N (0.0000, 0.5000, 0.5000)  2 Co 1.98
N (0.5000, 0.0000, 0.5000)  2 Co 1.98

---

Computed, not measured: a crystal of BaMn2FeCo relaxed with PBEsol at the meta-GGA SCAN level of DFT.

Calculated values
Space group: P4/mmm
Energy of formation from the pure elements: 2.30 eV per atom

Lattice parameters (Å, degrees): 4.9124 4.9124 4.6219 90.00 90.00 90.00
With the nearest neighbours (Å) after each atom.
Element x y z (fractional)
Ba (0.0000, 0.0000, 0.0000)  2 Co 2.31, 4 Mn 2.46
Mn (0.0000, 0.5000, 0.0000)  2 Ba 2.46
Mn (0.5000, 0.0000, 0.0000)  2 Ba 2.46
Fe (0.5000, 0.5000, 0.5000)  8 Mn 3.37, 4 Co 3.47
Co (0.0000, 0.0000, 0.5000)  2 Ba 2.31

---

Computed, not measured: a crystal of La5AsPb3 relaxed with PBEsol at the meta-GGA SCAN level of DFT.

Calculated values
Space group: P6_3/mcm
Energy of formation from the pure elements: -1.11 eV per atom

Lattice parameters (Å, degrees): 9.6161 9.6161 7.1181 90.00 90.00 120.00
With the nearest neighbours (Å) after each atom.
Element x y z (fractional)
La (0.0000, 0.2444, 0.2500)  2 As 2.95
La (0.0000, 0.7556, 0.7500)  2 As 2.95
La (0.2444, 0.0000, 0.2500)  2 As 2.95
La (0.2444, 0.2444, 0.7500)  2 As 2.95
La (0.3333, 0.6667, 0.0000)  6 Pb 3.44, 2 La 3.56
La (0.3333, 0.6667, 0.5000)  6 Pb 3.44, 2 La 3.56
La (0.6667, 0.3333, 0.0000)  6 Pb 3.44, 2 La 3.56
La (0.6667, 0.3333, 0.5000)  6 Pb 3.44, 2 La 3.56
La (0.7556, 0.0000, 0.7500)  2 As 2.95
La (0.7556, 0.7556, 0.2500)  2 As 2.95
As (0.0000, 0.0000, 0.0000)  6 La 2.95
As (0.0000, 0.0000, 0.5000)  6 La 2.95
Pb (0.0000, 0.3981, 0.7500)  7 La 3.34-3.44
Pb (0.0000, 0.6019, 0.2500)  7 La 3.34-3.44
Pb (0.3981, 0.0000, 0.7500)  7 La 3.34-3.44
Pb (0.3981, 0.3981, 0.2500)  7 La 3.34-3.44
Pb (0.6019, 0.0000, 0.2500)  7 La 3.34-3.44
Pb (0.6019, 0.6019, 0.7500)  7 La 3.34-3.44

---

Computed, not measured: a crystal of BaMoAu2 relaxed with PBEsol at the meta-GGA SCAN level of DFT.

Calculated values
Offset from the most stable computed form: 0.166 eV per atom
Space group: I-4m2
Energy of formation from the pure elements: 0.41 eV per atom

Lattice parameters (Å, degrees): 5.6003 5.6003 5.6003 134.09 134.09 66.94
With the nearest neighbours (Å) after each atom.
Element x y z (fractional)
Ba (0.0000, 0.0000, 0.0000)  8 Au 3.09-3.20, 4 Mo 3.20
Mo (0.7500, 0.2500, 0.5000)  8 Au 3.09-3.20, 4 Ba 3.20
Au (0.2500, 0.7500, 0.5000)  4 Mo 3.09, 4 Ba 3.20, 4 Au 3.20
Au (0.5000, 0.5000, 0.0000)  4 Ba 3.09, 4 Au 3.20, 4 Mo 3.20

---

Computed, not measured: a crystal of HfTeP2Se relaxed with PBEsol at the meta-GGA SCAN level of DFT.

Calculated values
Formation energy from raw total energies: 0.267 eV/atom
Space group: P4/mmm

Lattice parameters (Å, degrees): 4.9792 4.9792 4.9961 90.00 90.00 90.00
With the nearest neighbours (Å) after each atom.
Element x y z (fractional)
Hf (0.0000, 0.0000, 0.0000)  4 P 2.49, 2 Se 2.50
Te (0.5000, 0.5000, 0.5000)  4 Se 3.52, 8 P 3.53
P (0.0000, 0.5000, 0.0000)  2 Hf 2.49
P (0.5000, 0.0000, 0.0000)  2 Hf 2.49
Se (0.0000, 0.0000, 0.5000)  2 Hf 2.50

---

Computed, not measured: a crystal of YZnIrOs2 relaxed with PBEsol at the meta-GGA SCAN level of DFT.

Calculated values
Space group: P4/mmm
Energy of formation from the pure elements: 0.72 eV per atom

Lattice parameters (Å, degrees): 4.7358 4.7358 4.5840 90.00 90.00 90.00
With the nearest neighbours (Å) after each atom.
Element x y z (fractional)
Y (0.0000, 0.0000, 0.0000)  8 Os 3.30, 4 Zn 3.35
Zn (0.5000, 0.5000, 0.0000)  2 Ir 2.29
Ir (0.5000, 0.5000, 0.5000)  2 Zn 2.29, 4 Os 2.37
Os (0.0000, 0.5000, 0.5000)  2 Ir 2.37
Os (0.5000, 0.0000, 0.5000)  2 Ir 2.37

---

Computed, not measured: a crystal of SrP2AuN relaxed with PBEsol at the meta-GGA SCAN level of DFT.

Calculated values
Formation energy from raw total energies: 0.961 eV/atom
Space group: P4/mmm

Lattice parameters (Å, degrees): 4.5761 4.5761 6.1507 90.00 90.00 90.00
With the nearest neighbours (Å) after each atom.
Element x y z (fractional)
Sr (0.0000, 0.0000, 0.0000)  2 Au 3.08, 4 N 3.24
P (0.0000, 0.5000, 0.5000)  2 Au 2.29
P (0.5000, 0.0000, 0.5000)  2 Au 2.29
Au (0.0000, 0.0000, 0.5000)  4 P 2.29
N (0.5000, 0.5000, 0.0000)  4 Sr 3.24

---

Computed, not measured: a crystal of BaCaFe2 relaxed with PBEsol at the meta-GGA SCAN level of DFT.

Calculated values
Offset from the most stable computed form: 0.049 eV per atom
Space group: I4/mmm
Energy of formation from the pure elements: 0.84 eV per atom

Lattice parameters (Å, degrees): 5.1211 5.1211 5.1211 119.94 119.94 90.11
With the nearest neighbours (Å) after each atom.
Element x y z (fractional)
Ba (0.0000, 0.0000, 0.0000)  8 Fe 3.14
Ca (0.5000, 0.5000, 0.0000)  8 Fe 3.14
Fe (0.2500, 0.7500, 0.5000)  4 Ca 3.14, 4 Ba 3.14
Fe (0.7500, 0.2500, 0.5000)  4 Ca 3.14, 4 Ba 3.14

---

Computed, not measured: a crystal of Y2NiCl relaxed with PBEsol at the meta-GGA SCAN level of DFT.

Calculated values
Formation energy from raw total energies: -0.948 eV/atom
Offset from the most stable computed form: 0.101 eV per atom
Space group: Pmmm

Lattice parameters (Å, degrees): 3.3406 3.3767 7.7919 90.00 90.00 90.00
With the nearest neighbours (Å) after each atom.
Element x y z (fractional)
Y (0.0000, 0.0000, 0.2070)  2 Cl 2.83, 4 Ni 2.87
Y (0.0000, 0.0000, 0.7930)  2 Cl 2.83, 4 Ni 2.87
Ni (0.5000, 0.5000, 0.0000)  8 Y 2.87
Cl (0.5000, 0.0000, 0.5000)  4 Y 2.83

---

Computed, not measured: a crystal of ScCo2Ir relaxed with PBEsol at the meta-GGA SCAN level of DFT.

Calculated values
Space group: Amm2
Energy of formation from the pure elements: -0.14 eV per atom

Lattice parameters (Å, degrees): 4.0386 4.8899 4.8899 32.80 90.00 90.00
With the nearest neighbours (Å) after each atom.
Element x y z (fractional)
Sc (0.0000, 0.0000, 0.0000)  7 Co 2.47-2.62, 2 Sc 2.76
Co (0.0000, 0.7372, 0.7372)  2 Co 2.42, 3 Sc 2.47-2.62, 4 Ir 2.56
Co (0.5000, 0.5952, 0.5952)  2 Co 2.42, 3 Ir 2.50-2.61, 4 Sc 2.60
Ir (0.5000, 0.3175, 0.3175)  7 Co 2.50-2.61, 2 Ir 2.76

---

Computed, not measured: a crystal of MnCoAg2 relaxed with PBEsol at the meta-GGA SCAN level of DFT.

Calculated values
Offset from the most stable computed form: 0.074 eV per atom
Space group: Fm-3m
Energy of formation from the pure elements: 0.26 eV per atom

Lattice parameters (Å, degrees): 4.3390 4.3390 4.3390 60.00 60.00 60.00
With the nearest neighbours (Å) after each atom.
Element x y z (fractional)
Mn (0.0000, 0.0000, 0.0000)  8 Ag 2.66
Co (0.5000, 0.5000, 0.5000)  8 Ag 2.66
Ag (0.2500, 0.2500, 0.2500)  4 Mn 2.66, 4 Co 2.66
Ag (0.7500, 0.7500, 0.7500)  4 Mn 2.66, 4 Co 2.66

---

Computed, not measured: a crystal of FeHgRu relaxed with PBEsol at the meta-GGA SCAN level of DFT.

Calculated values
Offset from the most stable computed form: 0.130 eV per atom
Space group: P-6m2
Energy of formation from the pure elements: 0.49 eV per atom

Lattice parameters (Å, degrees): 4.2314 4.2314 2.8824 90.00 90.00 120.00
With the nearest neighbours (Å) after each atom.
Element x y z (fractional)
Fe (0.0000, 0.0000, 0.0000)  3 Ru 2.44
Hg (0.6667, 0.3333, 0.5000)  6 Fe 2.84, 6 Ru 2.84, 2 Hg 2.88
Ru (0.3333, 0.6667, 0.0000)  3 Fe 2.44

---

Asked for DOS(E_F) across the records above, the calculation gives 1.9 6.0 5.3 1.9 4.3 2.9 5.7 3.5 2.3 2.8 2.5 2.5 states/eV/cell in order.